DFT (GGA+U) results for a relaxed structure of MnHF3.

a b c (Å): 6.957 6.957 4.633
angles (deg): 90.00 90.00 150.44
Element x y z (fractional)
Mn 0.105 0.895 0.750
Mn 0.895 0.105 0.250
H 0.344 0.656 0.750
H 0.656 0.344 0.250
F 0.045 0.955 0.250
F 0.337 0.663 0.503
F 0.337 0.663 0.997
F 0.663 0.337 0.003
F 0.663 0.337 0.497
F 0.955 0.045 0.750

Calculated values
- N(E_F): 0.00 states/eV/f.u.
- Distance to the lowest polymorph of the same formula: 0 meV/atom